Record 1
Density functional theory data (GGA-PBE) for an optimized crystal structure of LaPdC3.

Values from the calculation:
As for the space group: Pm-3m. For the calculated volume, the calculation gives 14.088 Å³/atom. As for the total energy: -5.97 eV per atom. For the calculated formation energy, the calculation gives 1.5916 eV/atom. The energy above the most stable polymorph in this dataset is 0.0000 eV per atom. The calculation puts the density of states at the Fermi level at 5.8 states/eV/cell.

a = 4.130 Å, b = 4.130 Å, c = 4.130 Å
α = 90.00°, β = 90.00°, γ = 90.00°
Fractional positions:
C 0.000 0.500 0.000
C 0.000 0.000 0.500
C 0.500 0.000 0.000
Pd 0.000 0.000 0.000
La 0.500 0.500 0.500

=====

Record 2
Density functional theory data (GGA-PBE) for an optimized crystal structure of LaPd3C.

Values from the calculation:
As for the space group: Pm-3m. For the calculated volume, the calculation gives 27.429 Å³/atom. As for the total energy: -4.02 eV per atom. For the calculated formation energy, the calculation gives 1.9291 eV/atom. The energy above the most stable polymorph in this dataset is 2.1119 eV per atom. The calculation puts the density of states at the Fermi level at 3.0 states/eV/cell.

a = 5.157 Å, b = 5.157 Å, c = 5.157 Å
α = 90.00°, β = 90.00°, γ = 90.00°
Each line ends with the local moment (μB).
Fractional positions:
C 0.500 0.500 0.500  0.70
Pd 0.000 0.500 0.000  0.01
Pd 0.000 0.000 0.500  0.01
Pd 0.500 0.000 0.000  0.00
La 0.000 0.000 0.000  -0.05

=====

Record 3
Density functional theory data (GGA-PBE) for an optimized crystal structure of La3PdC.

Values from the calculation:
As for the space group: Pm-3m. For the calculated volume, the calculation gives 27.075 Å³/atom. As for the total energy: -5.99 eV per atom. For the calculated formation energy, the calculation gives -0.1509 eV/atom. The energy above the most stable polymorph in this dataset is 0.2073 eV per atom. The calculation puts the density of states at the Fermi level at 6.1 states/eV/cell.

a = 5.135 Å, b = 5.135 Å, c = 5.135 Å
α = 90.00°, β = 90.00°, γ = 90.00°
Fractional positions:
C 0.000 0.000 0.000
Pd 0.500 0.500 0.500
La 0.000 0.500 0.000
La 0.000 0.000 0.500
La 0.500 0.000 0.000

=====

Which value of calculated formation energy does entry 2 give? 1.9291 eV/atom